[1]
{
  "formula": "CrAg2",
  "functional": "PBE",
  "state": "relaxed",
  "dft_energy_ev_per_atom": -4.6536,
  "total_magnetization_mub_per_fu": 3.859,
  "formation_enthalpy_0k_ev_per_atom": 0.46,
  "lattice_angstrom": [[1.467, 3.815, 6.379], [-4.024, -2.461, -5.929], [-1.523, -3.738, 2.586]],
  "species": ["Ag", "Ag", "Cr", "Ag", "Ag", "Cr"],
  "fractional_positions": [[0.556, 0.444, 0.750], [0.883, 0.117, 0.750], [0.778, 0.222, 0.250], [0.117, 0.883, 0.250], [0.444, 0.556, 0.250], [0.222, 0.778, 0.750]]
}

[2]
{
  "formula": "CrAg",
  "functional": "PBE",
  "state": "relaxed",
  "dft_energy_ev_per_atom": -5.6674,
  "total_magnetization_mub_per_fu": 1.332,
  "formation_enthalpy_0k_ev_per_atom": 0.57,
  "lattice_angstrom": [[2.913, 0.000, 0.000], [0.000, 4.898, 0.000], [0.000, 0.000, 13.454]],
  "species": ["Cr", "Ag", "Ag", "Cr", "Ag", "Ag", "Ag", "Cr", "Ag", "Cr", "Cr", "Cr"],
  "fractional_positions": [[0.500, 0.991, 0.807], [0.500, 0.514, 0.337], [0.000, 0.486, 0.837], [0.000, 0.158, 0.000], [0.000, 0.486, 0.163], [0.500, 0.684, 0.000], [0.500, 0.514, 0.663], [0.500, 0.991, 0.193], [0.000, 0.316, 0.500], [0.000, 0.009, 0.307], [0.500, 0.842, 0.500], [0.000, 0.009, 0.693]]
}

[3]
{
  "formula": "CrAg",
  "functional": "PBE",
  "state": "relaxed",
  "dft_energy_ev_per_atom": -4.7209,
  "total_magnetization_mub_per_fu": 4.906,
  "formation_enthalpy_0k_ev_per_atom": 1.52,
  "lattice_angstrom": [[7.590, 0.000, 0.000], [0.000, 7.590, 0.000], [0.000, 0.000, 7.590]],
  "species": ["Cr", "Cr", "Ag", "Ag", "Cr", "Ag", "Cr", "Cr", "Ag", "Cr", "Ag", "Ag"],
  "fractional_positions": [[0.500, 0.000, 0.250], [0.500, 0.000, 0.750], [0.500, 0.750, 0.000], [0.000, 0.500, 0.250], [0.000, 0.750, 0.500], [0.250, 0.000, 0.500], [0.000, 0.250, 0.500], [0.250, 0.500, 0.000], [0.750, 0.000, 0.500], [0.750, 0.500, 0.000], [0.000, 0.500, 0.750], [0.500, 0.250, 0.000]]
}

[4]
{
  "formula": "CrAg3",
  "functional": "PBE",
  "state": "relaxed",
  "dft_energy_ev_per_atom": -4.1949,
  "total_magnetization_mub_per_fu": 3.968,
  "formation_enthalpy_0k_ev_per_atom": 0.35,
  "lattice_angstrom": [[9.467, -0.025, -0.015], [9.014, 2.894, -0.015], [9.014, 1.399, 2.533]],
  "species": ["Ag", "Cr", "Ag", "Ag"],
  "fractional_positions": [[0.002, 0.002, 0.002], [0.750, 0.750, 0.750], [0.250, 0.250, 0.250], [0.498, 0.498, 0.498]]
}

[5]
{
  "formula": "CrAg5",
  "functional": "PBE",
  "state": "relaxed",
  "dft_energy_ev_per_atom": -3.7517,
  "total_magnetization_mub_per_fu": 4.344,
  "formation_enthalpy_0k_ev_per_atom": 0.23,
  "lattice_angstrom": [[3.220, 0.000, 0.000], [0.000, 4.696, 0.000], [0.000, -2.348, 7.056]],
  "species": ["Cr", "Ag", "Ag", "Ag", "Ag", "Ag"],
  "fractional_positions": [[0.000, 0.000, 0.000], [0.500, 0.500, 0.000], [0.500, 0.165, 0.329], [0.000, 0.334, 0.668], [0.000, 0.666, 0.332], [0.500, 0.835, 0.671]]
}

[6]
{
  "formula": "CrAg",
  "functional": "PBE",
  "state": "relaxed",
  "dft_energy_ev_per_atom": -5.4050,
  "total_magnetization_mub_per_fu": 0.000,
  "formation_enthalpy_0k_ev_per_atom": 0.83,
  "lattice_angstrom": [[4.375, 0.000, 0.000], [2.188, 3.789, 0.000], [2.188, 1.263, 3.572]],
  "species": ["Ag", "Cr", "Ag", "Cr"],
  "fractional_positions": [[0.000, 0.000, 0.000], [0.250, 0.250, 0.250], [0.750, 0.750, 0.750], [0.500, 0.500, 0.500]]
}

[7]
{
  "formula": "CrAg",
  "functional": "PBE",
  "state": "relaxed",
  "dft_energy_ev_per_atom": -5.4323,
  "total_magnetization_mub_per_fu": 0.000,
  "formation_enthalpy_0k_ev_per_atom": 0.81,
  "lattice_angstrom": [[-8.063, -2.304, 0.457], [3.469, -12.566, -2.144], [0.463, -0.681, 4.741]],
  "species": ["Cr", "Ag", "Ag", "Cr", "Ag", "Cr", "Ag", "Cr", "Cr", "Ag", "Cr", "Ag", "Ag", "Cr", "Cr", "Ag", "Cr", "Ag", "Ag", "Cr", "Ag", "Ag", "Ag", "Ag", "Cr", "Cr", "Cr", "Cr", "Ag", "Cr", "Ag", "Cr"],
  "fractional_positions": [[0.250, 0.818, 0.250], [0.336, 0.000, 0.000], [0.914, 0.750, 0.250], [0.750, 0.182, 0.250], [0.164, 0.500, 0.000], [0.250, 0.682, 0.250], [0.336, 0.500, 0.500], [0.500, 0.068, 0.500], [0.250, 0.182, 0.750], [0.664, 0.000, 0.000], [0.000, 0.932, 0.000], [0.414, 0.750, 0.750], [0.836, 0.000, 0.500], [0.750, 0.318, 0.250], [0.750, 0.818, 0.750], [0.664, 0.500, 0.500], [0.000, 0.068, 0.000], [0.586, 0.750, 0.250], [0.914, 0.250, 0.750], [0.500, 0.568, 0.000], [0.586, 0.250, 0.750], [0.414, 0.250, 0.250], [0.086, 0.750, 0.750], [0.164, 0.000, 0.500], [0.750, 0.682, 0.750], [0.000, 0.432, 0.500], [0.000, 0.568, 0.500], [0.250, 0.318, 0.750], [0.836, 0.500, 0.000], [0.500, 0.432, 0.000], [0.086, 0.250, 0.250], [0.500, 0.932, 0.500]]
}

[8]
{
  "formula": "Cs2CrAg",
  "functional": "PBE",
  "state": "relaxed",
  "dft_energy_ev_per_atom": -2.8472,
  "polymorph_energy_ev_per_fu": 0.000,
  "total_magnetization_mub_per_fu": 5.054,
  "formation_enthalpy_0k_ev_per_atom": 0.70,
  "lattice_angstrom": [[4.862, -3.597, 2.256], [-1.162, -5.917, 2.304], [1.972, -5.190, -3.292]],
  "species": ["Cs", "Cs", "Ag", "Cr"],
  "fractional_positions": [[0.250, 0.250, 0.250], [0.750, 0.750, 0.750], [0.500, 0.500, 0.500], [0.000, 0.000, 0.000]]
}